# BeTlW | OQMD | PBE | relaxed
data_BeTlW
_chemical_formula_sum 'Be1 Tl1 W1'
_cell_length_a 4.4231
_cell_length_b 4.4231
_cell_length_c 4.4231
_cell_angle_alpha 60.00
_cell_angle_beta 60.00
_cell_angle_gamma 60.00
_symmetry_space_group_name_H-M 'P 1'
_symmetry_Int_Tables_number 1
loop_
_symmetry_equiv_pos_as_xyz
'x,y,z'
loop_
_atom_site_label
_atom_site_type_symbol
_atom_site_fract_x
_atom_site_fract_y
_atom_site_fract_z
Be1 Be 0.2500 0.2500 0.2500
Tl1 Tl 0.7500 0.7500 0.7500
W1 W 0.0000 0.0000 0.0000
# Polymorph energy (0 for the lowest one) ... 0.4467 eV/atom
# Symmetry ... F-43m, No. 216

---

# BeTlW | OQMD | PBE | relaxed
data_BeTlW
_chemical_formula_sum 'Be1 Tl1 W1'
_cell_length_a 4.1496
_cell_length_b 4.1496
_cell_length_c 4.1496
_cell_angle_alpha 60.00
_cell_angle_beta 60.00
_cell_angle_gamma 60.00
_symmetry_space_group_name_H-M 'P 1'
_symmetry_Int_Tables_number 1
loop_
_symmetry_equiv_pos_as_xyz
'x,y,z'
loop_
_atom_site_label
_atom_site_type_symbol
_atom_site_fract_x
_atom_site_fract_y
_atom_site_fract_z
Be1 Be 0.0000 0.0000 0.0000
Tl1 Tl 0.2500 0.2500 0.2500
W1 W 0.7500 0.7500 0.7500
# Polymorph energy (0 for the lowest one) ... 0.0000 eV/atom
# Symmetry ... F-43m, No. 216

---

# BeTlZn2 | OQMD | PBE | relaxed
data_BeTlZn2
_chemical_formula_sum 'Be1 Tl1 Zn2'
_cell_length_a 4.6189
_cell_length_b 4.6189
_cell_length_c 4.6189
_cell_angle_alpha 60.00
_cell_angle_beta 60.00
_cell_angle_gamma 60.00
_symmetry_space_group_name_H-M 'P 1'
_symmetry_Int_Tables_number 1
loop_
_symmetry_equiv_pos_as_xyz
'x,y,z'
loop_
_atom_site_label
_atom_site_type_symbol
_atom_site_fract_x
_atom_site_fract_y
_atom_site_fract_z
Be1 Be 0.2500 0.2500 0.2500
Tl1 Tl 0.5000 0.5000 0.5000
Zn1 Zn 0.0000 0.0000 0.0000
Zn2 Zn 0.7500 0.7500 0.7500
# Electronic total energy ... -1.62 eV per atom
# Symmetry ... F-43m, No. 216

---

# BeTl2Zn | OQMD | PBE | relaxed
data_BeTl2Zn
_chemical_formula_sum 'Be1 Tl2 Zn1'
_cell_length_a 5.0433
_cell_length_b 5.0433
_cell_length_c 5.0433
_cell_angle_alpha 60.00
_cell_angle_beta 60.00
_cell_angle_gamma 60.00
_symmetry_space_group_name_H-M 'P 1'
_symmetry_Int_Tables_number 1
loop_
_symmetry_equiv_pos_as_xyz
'x,y,z'
loop_
_atom_site_label
_atom_site_type_symbol
_atom_site_fract_x
_atom_site_fract_y
_atom_site_fract_z
Be1 Be 0.5000 0.5000 0.5000
Tl1 Tl 0.0000 0.0000 0.0000
Tl2 Tl 0.7500 0.7500 0.7500
Zn1 Zn 0.2500 0.2500 0.2500
# Polymorph energy (0 for the lowest one) ... 0.0946 eV/atom
# Symmetry ... F-43m, No. 216

---

# BeTl2Zn | OQMD | PBE | relaxed
data_BeTl2Zn
_chemical_formula_sum 'Be2 Tl4 Zn2'
_cell_length_a 5.6168
_cell_length_b 5.6238
_cell_length_c 5.6451
_cell_angle_alpha 89.83
_cell_angle_beta 89.15
_cell_angle_gamma 89.70
_symmetry_space_group_name_H-M 'P 1'
_symmetry_Int_Tables_number 1
loop_
_symmetry_equiv_pos_as_xyz
'x,y,z'
loop_
_atom_site_label
_atom_site_type_symbol
_atom_site_fract_x
_atom_site_fract_y
_atom_site_fract_z
Be1 Be 0.0003 0.2503 0.2536
Be2 Be 0.9997 0.7497 0.7464
Tl1 Tl 0.9512 0.7505 0.2485
Tl2 Tl 0.5003 0.2477 0.2682
Tl3 Tl 0.4997 0.7523 0.7318
Tl4 Tl 0.0488 0.2495 0.7515
Zn1 Zn 0.4451 0.7477 0.2300
Zn2 Zn 0.5549 0.2523 0.7700
# Polymorph energy (0 for the lowest one) ... 0.0000 eV/atom
# Symmetry ... P-1, No. 2

---

# Zr2Be2Tl | OQMD | PBE | relaxed
data_Zr2Be2Tl
_chemical_formula_sum 'Zr4 Be4 Tl2'
_cell_length_a 6.5175
_cell_length_b 6.5175
_cell_length_c 3.9808
_cell_angle_alpha 90.00
_cell_angle_beta 90.00
_cell_angle_gamma 90.00
_symmetry_space_group_name_H-M 'P 1'
_symmetry_Int_Tables_number 1
loop_
_symmetry_equiv_pos_as_xyz
'x,y,z'
loop_
_atom_site_label
_atom_site_type_symbol
_atom_site_fract_x
_atom_site_fract_y
_atom_site_fract_z
Be1 Be 0.6175 0.1175 0.0000
Be2 Be 0.1175 0.3825 0.0000
Be3 Be 0.8825 0.6175 0.0000
Be4 Be 0.3825 0.8825 0.0000
Tl1 Tl 0.0000 0.0000 0.0000
Tl2 Tl 0.5000 0.5000 0.0000
Zr1 Zr 0.3336 0.1664 0.5000
Zr2 Zr 0.8336 0.3336 0.5000
Zr3 Zr 0.1664 0.6664 0.5000
Zr4 Zr 0.6664 0.8336 0.5000
# Electronic total energy ... -5.56 eV per atom
# Symmetry ... P4/mbm, No. 127

---

# ZrBeTl2 | OQMD | PBE | relaxed
data_ZrBeTl2
_chemical_formula_sum 'Zr1 Be1 Tl2'
_cell_length_a 4.9894
_cell_length_b 4.9894
_cell_length_c 4.9894
_cell_angle_alpha 60.00
_cell_angle_beta 60.00
_cell_angle_gamma 60.00
_symmetry_space_group_name_H-M 'P 1'
_symmetry_Int_Tables_number 1
loop_
_symmetry_equiv_pos_as_xyz
'x,y,z'
loop_
_atom_site_label
_atom_site_type_symbol
_atom_site_fract_x
_atom_site_fract_y
_atom_site_fract_z
Be1 Be 0.7500 0.7500 0.7500
Tl1 Tl 0.2500 0.2500 0.2500
Tl2 Tl 0.5000 0.5000 0.5000
Zr1 Zr 0.0000 0.0000 0.0000
# Electronic total energy ... -3.60 eV per atom
# Symmetry ... F-43m, No. 216

---

# Zr2BeTl | OQMD | PBE | relaxed
data_Zr2BeTl
_chemical_formula_sum 'Zr2 Be1 Tl1'
_cell_length_a 4.8913
_cell_length_b 4.8913
_cell_length_c 4.8913
_cell_angle_alpha 60.00
_cell_angle_beta 60.00
_cell_angle_gamma 60.00
_symmetry_space_group_name_H-M 'P 1'
_symmetry_Int_Tables_number 1
loop_
_symmetry_equiv_pos_as_xyz
'x,y,z'
loop_
_atom_site_label
_atom_site_type_symbol
_atom_site_fract_x
_atom_site_fract_y
_atom_site_fract_z
Be1 Be 0.2500 0.2500 0.2500
Tl1 Tl 0.5000 0.5000 0.5000
Zr1 Zr 0.0000 0.0000 0.0000
Zr2 Zr 0.7500 0.7500 0.7500
# Electronic total energy ... -5.23 eV per atom
# Symmetry ... F-43m, No. 216

---

# TmBe12 | OQMD | PBE | relaxed
data_TmBe12
_chemical_formula_sum 'Tm1 Be12'
_cell_length_a 5.7954
_cell_length_b 5.7954
_cell_length_c 5.7954
_cell_angle_alpha 97.55
_cell_angle_beta 97.55
_cell_angle_gamma 137.51
_symmetry_space_group_name_H-M 'P 1'
_symmetry_Int_Tables_number 1
loop_
_symmetry_equiv_pos_as_xyz
'x,y,z'
loop_
_atom_site_label
_atom_site_type_symbol
_atom_site_fract_x
_atom_site_fract_y
_atom_site_fract_z
Be1 Be 0.5000 0.0000 0.0000
Be2 Be 0.0000 0.5000 0.0000
Be3 Be 0.7321 0.5000 0.2321
Be4 Be 0.5000 0.7321 0.2321
Be5 Be 0.3569 0.0000 0.3569
Be6 Be 0.0000 0.3569 0.3569
Be7 Be 0.0000 0.0000 0.5000
Be8 Be 0.5000 0.5000 0.5000
Be9 Be 0.6431 0.0000 0.6431
Be10 Be 0.0000 0.6431 0.6431
Be11 Be 0.5000 0.2679 0.7679
Be12 Be 0.2679 0.5000 0.7679
Tm1 Tm 0.0000 0.0000 0.0000
# Electronic total energy ... -3.89 eV per atom
# Symmetry ... I4/mmm, No. 139

---

# Tm5Be | OQMD | PBE | relaxed
data_Tm5Be
_chemical_formula_sum 'Tm5 Be1'
_cell_length_a 6.1878
_cell_length_b 6.1878
_cell_length_c 5.6551
_cell_angle_alpha 90.00
_cell_angle_beta 90.00
_cell_angle_gamma 120.00
_symmetry_space_group_name_H-M 'P 1'
_symmetry_Int_Tables_number 1
loop_
_symmetry_equiv_pos_as_xyz
'x,y,z'
loop_
_atom_site_label
_atom_site_type_symbol
_atom_site_fract_x
_atom_site_fract_y
_atom_site_fract_z
Be1 Be 0.0000 0.0000 0.0000
Tm1 Tm 0.6667 0.3333 0.0000
Tm2 Tm 0.3333 0.6667 0.0000
Tm3 Tm 0.5000 0.0000 0.5000
Tm4 Tm 0.0000 0.5000 0.5000
Tm5 Tm 0.5000 0.5000 0.5000
# Electronic total energy ... -3.50 eV per atom
# Symmetry ... P6/mmm, No. 191

---

# TmBe2 | OQMD | PBE | relaxed
data_TmBe2
_chemical_formula_sum 'Tm2 Be4'
_cell_length_a 4.9770
_cell_length_b 4.9770
_cell_length_c 4.9770
_cell_angle_alpha 60.00
_cell_angle_beta 60.00
_cell_angle_gamma 60.00
_symmetry_space_group_name_H-M 'P 1'
_symmetry_Int_Tables_number 1
loop_
_symmetry_equiv_pos_as_xyz
'x,y,z'
loop_
_atom_site_label
_atom_site_type_symbol
_atom_site_fract_x
_atom_site_fract_y
_atom_site_fract_z
Be1 Be 0.6250 0.6250 0.1250
Be2 Be 0.6250 0.1250 0.6250
Be3 Be 0.1250 0.6250 0.6250
Be4 Be 0.6250 0.6250 0.6250
Tm1 Tm 0.0000 0.0000 0.0000
Tm2 Tm 0.2500 0.2500 0.2500
# Electronic total energy ... -3.93 eV per atom
# Symmetry ... Fd-3m, No. 227

---

# TmBe5 | OQMD | PBE | relaxed
data_TmBe5
_chemical_formula_sum 'Tm1 Be5'
_cell_length_a 4.6308
_cell_length_b 4.6308
_cell_length_c 4.6308
_cell_angle_alpha 60.00
_cell_angle_beta 60.00
_cell_angle_gamma 60.00
_symmetry_space_group_name_H-M 'P 1'
_symmetry_Int_Tables_number 1
loop_
_symmetry_equiv_pos_as_xyz
'x,y,z'
loop_
_atom_site_label
_atom_site_type_symbol
_atom_site_fract_x
_atom_site_fract_y
_atom_site_fract_z
Be1 Be 0.8769 0.3744 0.3744
Be2 Be 0.3744 0.8769 0.3744
Be3 Be 0.3744 0.3744 0.3744
Be4 Be 0.7500 0.7500 0.7500
Be5 Be 0.3744 0.3744 0.8769
Tm1 Tm 0.0000 0.0000 0.0000
# Electronic total energy ... -3.65 eV per atom
# Symmetry ... F-43m, No. 216

---

# Tm2Be | OQMD | PBE | relaxed
data_Tm2Be
_chemical_formula_sum 'Tm4 Be2'
_cell_length_a 6.0116
_cell_length_b 6.0116
_cell_length_c 6.0116
_cell_angle_alpha 60.00
_cell_angle_beta 60.00
_cell_angle_gamma 60.00
_symmetry_space_group_name_H-M 'P 1'
_symmetry_Int_Tables_number 1
loop_
_symmetry_equiv_pos_as_xyz
'x,y,z'
loop_
_atom_site_label
_atom_site_type_symbol
_atom_site_fract_x
_atom_site_fract_y
_atom_site_fract_z
Be1 Be 0.0000 0.0000 0.0000
Be2 Be 0.2500 0.2500 0.2500
Tm1 Tm 0.6250 0.6250 0.1250
Tm2 Tm 0.6250 0.1250 0.6250
Tm3 Tm 0.1250 0.6250 0.6250
Tm4 Tm 0.6250 0.6250 0.6250
# Electronic total energy ... -3.26 eV per atom
# Symmetry ... Fd-3m, No. 227

---

# TmBe4 | OQMD | PBE | relaxed
data_TmBe4
_chemical_formula_sum 'Tm2 Be8'
_cell_length_a 3.1247
_cell_length_b 3.1247
_cell_length_c 13.1338
_cell_angle_alpha 90.00
_cell_angle_beta 90.00
_cell_angle_gamma 90.00
_symmetry_space_group_name_H-M 'P 1'
_symmetry_Int_Tables_number 1
loop_
_symmetry_equiv_pos_as_xyz
'x,y,z'
loop_
_atom_site_label
_atom_site_type_symbol
_atom_site_fract_x
_atom_site_fract_y
_atom_site_fract_z
Be1 Be 0.0000 0.0000 0.0000
Be2 Be 0.5000 0.5000 0.0000
Be3 Be 0.0000 0.0000 0.3819
Be4 Be 0.5000 0.5000 0.3819
Be5 Be 0.0000 0.5000 0.4976
Be6 Be 0.5000 0.0000 0.5024
Be7 Be 0.0000 0.0000 0.6181
Be8 Be 0.5000 0.5000 0.6181
Tm1 Tm 0.0000 0.5000 0.1903
Tm2 Tm 0.5000 0.0000 0.8097
# Electronic total energy ... -3.56 eV per atom
# Symmetry ... P4/nmm, No. 129

---

# YTmBe | OQMD | PBE | relaxed
data_YTmBe
_chemical_formula_sum 'Y1 Tm1 Be1'
_cell_length_a 4.7098
_cell_length_b 4.7098
_cell_length_c 4.7098
_cell_angle_alpha 60.00
_cell_angle_beta 60.00
_cell_angle_gamma 60.00
_symmetry_space_group_name_H-M 'P 1'
_symmetry_Int_Tables_number 1
loop_
_symmetry_equiv_pos_as_xyz
'x,y,z'
loop_
_atom_site_label
_atom_site_type_symbol
_atom_site_fract_x
_atom_site_fract_y
_atom_site_fract_z
Be1 Be 0.2500 0.2500 0.2500
Tm1 Tm 0.0000 0.0000 0.0000
Y1 Y 0.7500 0.7500 0.7500
# Polymorph energy (0 for the lowest one) ... 0.0000 eV/atom
# Symmetry ... F-43m, No. 216

---

# TmZrBe | OQMD | PBE | relaxed
data_TmZrBe
_chemical_formula_sum 'Tm1 Zr1 Be1'
_cell_length_a 4.6371
_cell_length_b 4.6371
_cell_length_c 4.6371
_cell_angle_alpha 60.00
_cell_angle_beta 60.00
_cell_angle_gamma 60.00
_symmetry_space_group_name_H-M 'P 1'
_symmetry_Int_Tables_number 1
loop_
_symmetry_equiv_pos_as_xyz
'x,y,z'
loop_
_atom_site_label
_atom_site_type_symbol
_atom_site_fract_x
_atom_site_fract_y
_atom_site_fract_z
Be1 Be 0.2500 0.2500 0.2500
Tm1 Tm 0.0000 0.0000 0.0000
Zr1 Zr 0.7500 0.7500 0.7500
# Electronic total energy ... -4.34 eV per atom
# Symmetry ... F-43m, No. 216

---

# UBe | OQMD | PBE | relaxed
data_UBe
_chemical_formula_sum 'U2 Be2'
_cell_length_a 4.3901
_cell_length_b 4.3901
_cell_length_c 3.9939
_cell_angle_alpha 90.00
_cell_angle_beta 90.00
_cell_angle_gamma 120.00
_symmetry_space_group_name_H-M 'P 1'
_symmetry_Int_Tables_number 1
loop_
_symmetry_equiv_pos_as_xyz
'x,y,z'
loop_
_atom_site_label
_atom_site_type_symbol
_atom_site_fract_x
_atom_site_fract_y
_atom_site_fract_z
Be1 Be 0.0000 0.0000 0.0000
Be2 Be 0.0000 0.0000 0.5000
U1 U 0.6667 0.3333 0.2500
U2 U 0.3333 0.6667 0.7500
# Polymorph energy (0 for the lowest one) ... 0.0512 eV/atom
# Symmetry ... P6_3/mmc, No. 194

---

# UBe | OQMD | PBE | relaxed
data_UBe
_chemical_formula_sum 'U1 Be1'
_cell_length_a 4.0350
_cell_length_b 4.0350
_cell_length_c 4.0350
_cell_angle_alpha 60.00
_cell_angle_beta 60.00
_cell_angle_gamma 60.00
_symmetry_space_group_name_H-M 'P 1'
_symmetry_Int_Tables_number 1
loop_
_symmetry_equiv_pos_as_xyz
'x,y,z'
loop_
_atom_site_label
_atom_site_type_symbol
_atom_site_fract_x
_atom_site_fract_y
_atom_site_fract_z
Be1 Be 0.0000 0.0000 0.0000
U1 U 0.2500 0.2500 0.2500
# Polymorph energy (0 for the lowest one) ... 1.6154 eV/atom
# Symmetry ... F-43m, No. 216

---

# UBe | OQMD | PBE | relaxed
data_UBe
_chemical_formula_sum 'U1 Be1'
_cell_length_a 2.7833
_cell_length_b 2.7833
_cell_length_c 4.8205
_cell_angle_alpha 90.00
_cell_angle_beta 90.00
_cell_angle_gamma 120.00
_symmetry_space_group_name_H-M 'P 1'
_symmetry_Int_Tables_number 1
loop_
_symmetry_equiv_pos_as_xyz
'x,y,z'
loop_
_atom_site_label
_atom_site_type_symbol
_atom_site_fract_x
_atom_site_fract_y
_atom_site_fract_z
Be1 Be 0.6667 0.3333 0.7500
U1 U 0.3333 0.6667 0.2500
# Polymorph energy (0 for the lowest one) ... 0.0000 eV/atom
# Symmetry ... P-6m2, No. 187

---

# UBe | OQMD | PBE | relaxed
data_UBe
_chemical_formula_sum 'U2 Be2'
_cell_length_a 3.9973
_cell_length_b 5.7011
_cell_length_c 3.9994
_cell_angle_alpha 90.00
_cell_angle_beta 119.95
_cell_angle_gamma 90.00
_symmetry_space_group_name_H-M 'P 1'
_symmetry_Int_Tables_number 1
loop_
_symmetry_equiv_pos_as_xyz
'x,y,z'
loop_
_atom_site_label
_atom_site_type_symbol
_atom_site_fract_x
_atom_site_fract_y
_atom_site_fract_z
Be1 Be 0.6667 0.7500 0.3341
Be2 Be 0.3333 0.2500 0.6659
U1 U 0.0000 0.0000 0.0000
U2 U 0.0000 0.5000 0.0000
# Polymorph energy (0 for the lowest one) ... 0.5875 eV/atom
# Symmetry ... P2_1/m, No. 11